# Ta2InS4

A relaxed Ta2InS4 crystal (PBEsol, the Alexandria database).

Summary:
Its size of the total moment is 0.00 μB per cell. As for the space group: Imm2. The density is 6.78 g/cm³. The calculation puts the total energy at -52.86 eV for the cell shown.

Lattice parameters (Å, degrees): 8.500 8.500 8.500 157.55 45.76 140.67
Fractional coordinates of all 7 atoms:
Ta (0.249, 0.000, 0.249)
Ta (0.751, 0.000, 0.751)
In (0.526, 0.026, 0.500)
S (0.182, 0.333, 0.849)
S (0.484, 0.333, 0.151)
S (0.683, 0.334, 0.349)
S (0.984, 0.334, 0.651)

# Ta3In2S6

A relaxed Ta3In2S6 crystal (PBEsol, the Alexandria database).

Summary:
Its size of the total moment is 0.00 μB per cell. As for the space group: R32. The density is 7.17 g/cm³. The calculation puts the total energy at -80.88 eV for the cell shown.

Lattice parameters (Å, degrees): 8.532 8.532 8.532 39.23 39.23 39.23
Fractional coordinates of all 11 atoms:
Ta (0.000, 0.000, 0.000)
Ta (0.333, 0.333, 0.333)
Ta (0.667, 0.667, 0.667)
In (0.166, 0.166, 0.166)
In (0.834, 0.834, 0.834)
S (0.067, 0.399, 0.731)
S (0.269, 0.601, 0.933)
S (0.399, 0.731, 0.067)
S (0.601, 0.933, 0.269)
S (0.731, 0.067, 0.399)
S (0.933, 0.269, 0.601)

# Tb4In5S13

A relaxed Tb4In5S13 crystal (PBEsol, the Alexandria database).

Summary:
Its size of the total moment is 0.00 μB per cell. As for the space group: Pbam. The density is 5.69 g/cm³. The calculation puts the total energy at -239.09 eV for the cell shown.

Lattice parameters (Å, degrees): 11.775 21.127 3.814 90.00 90.00 90.00
Fractional coordinates of all 44 atoms:
Tb (0.017, 0.172, 0.000)
Tb (0.175, 0.340, 0.000)
Tb (0.325, 0.840, 0.000)
Tb (0.483, 0.672, 0.000)
Tb (0.517, 0.328, 0.000)
Tb (0.675, 0.160, 0.000)
Tb (0.825, 0.660, 0.000)
Tb (0.983, 0.828, 0.000)
In (0.000, 0.500, 0.000)
In (0.154, 0.992, 0.500)
In (0.157, 0.668, 0.500)
In (0.343, 0.168, 0.500)
In (0.346, 0.492, 0.500)
In (0.500, 0.000, 0.000)
In (0.654, 0.508, 0.500)
In (0.657, 0.832, 0.500)
In (0.843, 0.332, 0.500)
In (0.846, 0.008, 0.500)
S (0.000, 0.000, 0.000)
S (0.006, 0.406, 0.500)
S (0.085, 0.261, 0.500)
S (0.149, 0.865, 0.500)
S (0.156, 0.113, 0.500)
S (0.165, 0.741, 0.000)
S (0.204, 0.473, 0.000)
S (0.296, 0.973, 0.000)
S (0.335, 0.241, 0.000)
S (0.344, 0.613, 0.500)
S (0.351, 0.365, 0.500)
S (0.415, 0.761, 0.500)
S (0.494, 0.906, 0.500)
S (0.500, 0.500, 0.000)
S (0.506, 0.094, 0.500)
S (0.585, 0.239, 0.500)
S (0.649, 0.635, 0.500)
S (0.656, 0.387, 0.500)
S (0.665, 0.759, 0.000)
S (0.704, 0.027, 0.000)
S (0.796, 0.527, 0.000)
S (0.835, 0.259, 0.000)
S (0.844, 0.887, 0.500)
S (0.851, 0.135, 0.500)
S (0.915, 0.739, 0.500)
S (0.994, 0.594, 0.500)

# InTeS2

A relaxed InTeS2 crystal (PBEsol, the Alexandria database).

Summary:
Its energy relative to the lowest polymorph listed for this composition is 427 meV/atom. Its size of the total moment is 0.00 μB per cell. As for the space group: Fm-3m. The density is 6.35 g/cm³. The calculation puts the total energy at -14.72 eV for the cell shown.

Lattice parameters (Å, degrees): 4.841 4.841 4.841 60.00 60.00 60.00
Fractional coordinates of all 4 atoms:
In (0.000, 0.000, 0.000)
Te (0.500, 0.500, 0.500)
S (0.250, 0.250, 0.250)
S (0.750, 0.750, 0.750)